The following is a PBE calculation of a relaxed Li2Cd6Au3 crystal, from Alexandria via LeMat-Bulk.

POSCAR file:
```
Li2Cd6Au3
1.0
-1.9999 1.9999 14.7110
1.9999 -1.9999 14.7110
1.9999 1.9999 -14.7110
Li Cd Au
2 6 3
Cartesian
0.0000 0.0000 1.2001
0.0000 0.0000 28.2219
1.9999 0.0000 3.3047
0.0000 0.0000 6.3306
1.9999 0.0000 11.4063
0.0000 1.9999 3.3047
0.0000 0.0000 23.0914
0.0000 1.9999 11.4063
0.0000 0.0000 9.1693
0.0000 0.0000 14.7110
0.0000 0.0000 20.2528
```

Calculated values
Raw total energy: -1.817 eV/atom
Symmetry: I4/mmm
D(E_F): 3.11 states/eV/cell
Calculated formation energy: -7 kJ/mol of atoms